# 1
DFT (PBE) results for crystalline LaHg4Pb2 at its relaxed geometry.

The size of the total moment comes out at 0.000 μB per atom. The value obtained for the raw total energy is -2.17 eV per atom. The calculation puts the formation energy at -0.229 eV/atom.

The space group is P4/mmm (No. 123) and the conventional cell measures 5.1036, 5.1036 and 7.8877 Å, with angles of 90.00, 90.00 and 90.00 degrees. The inequivalent atoms are La at (0.0000, 0.0000, 0.0000), Hg at (0.0000, 0.5000, 0.2748), Pb at (0.0000, 0.0000, 0.5000) and Pb at (0.5000, 0.5000, 0.0000).


# 2
DFT (PBE) results for crystalline La6HgPb at its relaxed geometry.

The size of the total moment comes out at 0.000 μB per atom. The value obtained for the raw total energy is -4.49 eV per atom. The calculation puts the formation energy at -0.296 eV/atom.

The space group is P4/mmm (No. 123) and the conventional cell measures 5.0647, 5.0647 and 10.0333 Å, with angles of 90.00, 90.00 and 90.00 degrees. The inequivalent atoms are La at (0.0000, 0.0000, 0.0000), La at (0.0000, 0.0000, 0.5000), La at (0.0000, 0.5000, 0.2481), Hg at (0.5000, 0.5000, 0.0000) and Pb at (0.5000, 0.5000, 0.5000).


# 3
DFT (PBE) results for crystalline La6HgPb5 at its relaxed geometry.

The size of the total moment comes out at 0.000 μB per atom. The value obtained for the raw total energy is -4.61 eV per atom. The calculation puts the formation energy at -0.573 eV/atom.

The space group is Cmmm (No. 65) and the conventional cell measures 5.2504, 15.7988 and 9.0902 Å, with angles of 90.00, 90.00 and 90.00 degrees. The inequivalent atoms are La at (0.0000, 0.0000, 0.2468), La at (0.0000, 0.3338, 0.2454), Hg at (0.0000, 0.5000, 0.0000), Pb at (0.0000, 0.1626, 0.0000), Pb at (0.0000, 0.1677, 0.5000) and Pb at (0.0000, 0.5000, 0.5000).


# 4
DFT (PBE) results for crystalline LaHg2Pb at its relaxed geometry.

The size of the total moment comes out at 0.080 μB per atom. The value obtained for the raw total energy is -2.55 eV per atom. The calculation puts the formation energy at -0.243 eV/atom.

The space group is C2/m (No. 12) and the conventional cell measures 6.7646, 11.4523 and 3.3811 Å, with angles of 90.00, 117.29 and 90.00 degrees. The inequivalent atoms are La at (0.0000, 0.0000, 0.0000), Hg at (0.2500, 0.2500, 0.5000) and Pb at (0.0000, 0.5000, 0.0000).


# 5
DFT (PBE) results for crystalline La2Hg3Pb3 at its relaxed geometry.

The size of the total moment comes out at 0.000 μB per atom. The value obtained for the raw total energy is -3.18 eV per atom. The calculation puts the formation energy at -0.446 eV/atom.

The space group is Pmmm (No. 47) and the conventional cell measures 4.7581, 4.8357 and 9.8754 Å, with angles of 90.00, 90.00 and 90.00 degrees. The inequivalent atoms are La at (0.0000, 0.0000, 0.2490), Hg at (0.0000, 0.5000, 0.0000), Hg at (0.0000, 0.5000, 0.5000), Hg at (0.5000, 0.0000, 0.5000), Pb at (0.5000, 0.0000, 0.0000) and Pb at (0.5000, 0.5000, 0.2571).


# 6
DFT (PBE) results for crystalline La2Hg3Pb at its relaxed geometry.

The size of the total moment comes out at 0.028 μB per atom. The value obtained for the raw total energy is -2.88 eV per atom. The calculation puts the energy above the lowest structure with this stoichiometry at 0 meV/atom. The calculation puts the formation energy at -0.468 eV/atom.

The space group is Fmmm (No. 69) and the conventional cell measures 7.5084, 10.2164 and 17.6893 Å, with angles of 90.00, 90.00 and 90.00 degrees. The inequivalent atoms are La at (0.2440, 0.0000, 0.0000), La at (0.2500, 0.2500, 0.2500), Hg at (0.0000, 0.0000, 0.1642), Hg at (0.0000, 0.2470, 0.0817) and Pb at (0.0000, 0.0000, 0.3344).


# 7
DFT (PBE) results for crystalline LaHgPb at its relaxed geometry.

The size of the total moment comes out at 0.000 μB per atom. The value obtained for the raw total energy is -3.19 eV per atom. The calculation puts the formation energy at -0.214 eV/atom.

The space group is F-43m (No. 216) and the conventional cell measures 7.5069, 7.5069 and 7.5069 Å, with angles of 90.00, 90.00 and 90.00 degrees. The inequivalent atoms are La at (0.0000, 0.0000, 0.0000), Hg at (0.2500, 0.2500, 0.2500) and Pb at (0.2500, 0.2500, 0.7500).


# 8
DFT (PBE) results for crystalline La3Hg3Pb4 at its relaxed geometry.

The size of the total moment comes out at 0.000 μB per atom. The value obtained for the raw total energy is -3.50 eV per atom. The calculation puts the formation energy at -0.443 eV/atom.

The space group is I-43d (No. 220) and the conventional cell measures 10.6182, 10.6182 and 10.6182 Å, with angles of 90.00, 90.00 and 90.00 degrees. The inequivalent atoms are La at (0.0000, 0.2500, 0.3750), Hg at (0.0000, 0.2500, 0.8750) and Pb at (0.0968, 0.0968, 0.0968).